Here is a geometry-optimized SrTlCoCl6 structure from the Alexandria database. Energies are from PBE.

The structure in CIF format:
```
data_SrTlCoCl6
_chemical_formula_sum 'Sr1 Tl1 Co1 Cl6'
_symmetry_space_group_name_H-M 'P 3 1 2'
_symmetry_Int_Tables_number 149
_cell_length_a 6.9038
_cell_length_b 6.9038
_cell_length_c 6.6525
_cell_angle_alpha 90.00
_cell_angle_beta 90.00
_cell_angle_gamma 120.00
loop_
_symmetry_equiv_pos_as_xyz
'x,y,z'
'-y,x-y,z'
'-x+y,-x,z'
'-y,-x,-z'
'-x+y,y,-z'
'x,x-y,-z'
loop_
_atom_site_label
_atom_site_type_symbol
_atom_site_fract_x
_atom_site_fract_y
_atom_site_fract_z
Sr1 Sr 0.0000 0.0000 0.0000
Tl1 Tl 0.6667 0.3333 0.5000
Co1 Co 0.3333 0.6667 0.0000
Cl1 Cl 0.0665 0.3991 0.2030
```

Calculated values
The value obtained for the uncorrected formation energy is -1.2553 eV per atom. Its mass density is 3.4 g cm⁻³.

Here is a geometry-optimized Zr2Al2Zn15 structure from the Alexandria database. Energies are from PBE.

The structure in CIF format:
```
data_Zr2Al2Zn15
_chemical_formula_sum 'Zr6 Al6 Zn45'
_symmetry_space_group_name_H-M 'R -3 m'
_symmetry_Int_Tables_number 166
_symmetry_space_group_name_Hall '-R 3 2"'
_cell_length_a 8.8754
_cell_length_b 8.8754
_cell_length_c 12.9529
_cell_angle_alpha 90.00
_cell_angle_beta 90.00
_cell_angle_gamma 120.00
loop_
_atom_site_label
_atom_site_type_symbol
_atom_site_fract_x
_atom_site_fract_y
_atom_site_fract_z
Zr1 Zr 0.0000 0.0000 0.1630
Al1 Al 0.0000 0.0000 0.3971
Zn1 Zn 0.0000 0.3072 0.5000
Zn2 Zn 0.0000 0.5000 0.0000
Zn3 Zn 0.0141 0.5070 0.6516
```

Calculated values
The energy of formation from the pure elements is -2.2 eV per formula unit. The value obtained for the density of states at the Fermi level is 5.867 states/eV/f.u. Its mass density is 6.9 g cm⁻³.

Here is a geometry-optimized HfCoCuPt structure from the Alexandria database. Energies are from PBE.

The structure in CIF format:
```
data_HfCoCuPt
_chemical_formula_sum 'Hf4 Co4 Cu4 Pt4'
_symmetry_space_group_name_H-M 'F -4 3 m'
_symmetry_Int_Tables_number 216
_symmetry_space_group_name_Hall 'F -4 2 3'
_cell_length_a 6.1824
_cell_length_b 6.1824
_cell_length_c 6.1824
_cell_angle_alpha 90.00
_cell_angle_beta 90.00
_cell_angle_gamma 90.00
loop_
_atom_site_label
_atom_site_type_symbol
_atom_site_fract_x
_atom_site_fract_y
_atom_site_fract_z
Hf1 Hf 0.0000 0.0000 0.0000
Co1 Co 0.2500 0.2500 0.2500
Cu1 Cu 0.0000 0.0000 0.5000
Pt1 Pt 0.2500 0.2500 0.7500
```

Calculated values
The energy of formation from the pure elements is -1.8 eV per formula unit. The value obtained for the density of states at the Fermi level is 2.067 states/eV/f.u. Its mass density is 13.9 g cm⁻³.